Fe2RhBr | Alexandria | PBE | relaxed; spin magnetization = 7.23 Bohr magnetons per cell; raw total energy = -6.05 eV/atom; ρ = 7.614 Mg/m³; DOS(E_F) = 1.263 states/eV/atom; formation energy (no corrections) = 438 meV per atom
1.0
-6.653 -0.589 -4.464
-7.402 -2.352 -2.056
-7.774 0.698 -1.904
Fe Br Rh
2 1 1
Cartesian
-11.010 -1.131 -4.248 Fe
-21.733 -2.233 -8.386 Fe
-16.371 -1.682 -6.317 Br
-5.457 -0.561 -2.106 Rh



Fe3RhBr | Alexandria | PBE | relaxed; spin magnetization = 7.94 Bohr magnetons per cell; raw total energy = -5.67 eV/atom; ρ = 7.178 Mg/m³; DOS(E_F) = 0.894 states/eV/atom; formation energy (no corrections) = 1209 meV per atom
1.0
-1.947 -2.914 2.539
2.593 1.124 3.278
-2.866 2.996 1.240
Rh Br Fe
1 1 3
Cartesian
-1.110 0.603 3.528 Rh
0.000 0.000 0.000 Br
1.296 0.562 1.639 Fe
-1.433 1.498 0.620 Fe
-0.973 -1.457 1.269 Fe



Fe2RhBr2 | Alexandria | PBE | relaxed; spin magnetization = 0.00 Bohr magnetons per cell; raw total energy = -4.46 eV/atom; ρ = 8.385 Mg/m³; DOS(E_F) = 2.613 states/eV/atom; formation energy (no corrections) = 1065 meV per atom
1.0
-5.969 0.167 3.691
-2.671 -5.039 -4.093
1.094 -2.094 1.864
Fe Br Rh
4 4 2
Cartesian
-5.511 -2.697 2.635 Fe
-1.962 -1.714 1.655 Fe
-2.035 -4.269 -1.172 Fe
-5.584 -5.252 -0.192 Fe
-6.782 -3.179 0.411 Br
-1.859 -1.694 -0.812 Br
-4.286 -4.183 -2.183 Br
-4.355 -0.689 1.782 Br
0.000 0.000 0.000 Rh
-4.320 -2.436 -0.201 Rh



Q: ρ of number 3 (Fe2RhBr2)?
A: 8.385 Mg/m³



What did the first record say?
Fe2RhBr | Alexandria | PBE | relaxed; spin magnetization = 7.23 Bohr magnetons per cell; raw total energy = -6.05 eV/atom; ρ = 7.614 Mg/m³; DOS(E_F) = 1.263 states/eV/atom; formation energy (no corrections) = 438 meV per atom
1.0
-6.653 -0.589 -4.464
-7.402 -2.352 -2.056
-7.774 0.698 -1.904
Fe Br Rh
2 1 1
Cartesian
-11.010 -1.131 -4.248 Fe
-21.733 -2.233 -8.386 Fe
-16.371 -1.682 -6.317 Br
-5.457 -0.561 -2.106 Rh



Q: formation energy (no corrections) of number 1 (Fe2RhBr)?
A: 438 meV per atom